Tb4PrSm2Dy | PBE-GGA | relaxed

Values from the calculation:
calculated formation energy: 0.412 eV/atom
V: 540.9 Å³ per cell
total magnetic moment: 2.72 μB/f.u.

Cell: 9.5489 9.5489 6.8536 Å, 111.03 111.03 88.34°
Positions (direct):
Tb 0.2471 0.2484 0.4969
Tb 0.2470 0.7523 0.5006
Tb 0.2484 0.2471 0.9969
Tb 0.2477 0.7530 0.9994
Tb 0.7523 0.2470 0.0006
Tb 0.7516 0.7529 0.0031
Tb 0.7530 0.2477 0.4994
Tb 0.7529 0.7516 0.5031
Pr 0.0000 0.5000 0.0000
Pr 0.5000 0.0000 0.5000
Sm 0.0000 0.5000 0.5000
Sm 0.5000 0.0000 0.0000
Sm 0.5000 0.5000 0.0000
Sm 0.5000 0.5000 0.5000
Dy 0.0000 0.0000 0.0000
Dy 0.0000 0.0000 0.5000